Entry 1:
{"formula": "KCdMo2", "functional": "meta-GGA SCAN", "state": "single point on PBEsol structure", "formation_enthalpy_0k_ev_per_atom": 0.590, "lattice": [[-2.099, -2.430, 0.004], [2.270, -1.963, -1.094], [2.490, -1.695, 8.208]], "species": ["Cd", "K", "Mo", "Mo"], "frac_coords": [[0.995, 0.000, 0.439], [0.526, 0.500, 0.757], [0.018, 0.000, 0.082], [0.461, 0.500, 0.221]]}



Entry 2:
{"formula": "La2Cr3", "functional": "meta-GGA SCAN", "state": "single point on PBEsol structure", "formation_enthalpy_0k_ev_per_atom": 0.649, "lattice": [[-3.107, -0.942, 1.754], [-1.281, -3.452, -0.241], [3.517, -3.840, 8.052]], "species": ["Cr", "Cr", "Cr", "La", "La"], "frac_coords": [[0.000, 0.000, 0.000], [0.167, 0.167, 0.500], [0.833, 0.833, 0.500], [0.415, 0.415, 0.755], [0.585, 0.585, 0.245]]}



Entry 3:
{"formula": "ZnHg5", "functional": "meta-GGA SCAN", "state": "single point on PBEsol structure", "formation_enthalpy_0k_ev_per_atom": 0.100, "lattice": [[3.131, 0.000, 0.000], [0.000, 3.131, 0.000], [0.000, 0.000, 13.131]], "species": ["Zn", "Hg", "Hg", "Hg", "Hg", "Hg"], "frac_coords": [[0.500, 0.500, 0.500], [0.000, 0.000, 0.641], [0.500, 0.500, 0.821], [0.000, 0.000, 0.000], [0.500, 0.500, 0.179], [0.000, 0.000, 0.359]]}



Entry 4:
{"formula": "InPtCl", "functional": "meta-GGA SCAN", "state": "single point on PBEsol structure", "formation_energy_uncorrected_ev_per_atom": 0.07, "lattice": [[-2.341, 2.679, -2.811], [-4.498, 0.369, 0.440], [-1.819, 3.860, 1.536]], "species": ["Cl", "Pt", "In"], "frac_coords": [[0.500, 0.500, 0.500], [0.000, 0.000, 0.000], [0.250, 0.250, 0.250]]}



Entry 5:
{"formula": "Ni17As6O32", "functional": "meta-GGA SCAN", "state": "single point on PBEsol structure", "formation_energy_uncorrected_ev_per_atom": -1.36, "lattice": [[-2.343, -5.439, 0.083], [4.095, -1.631, 8.740], [-9.287, 4.019, 1.152]], "species": ["Ni", "Ni", "Ni", "Ni", "Ni", "Ni", "Ni", "Ni", "Ni", "Ni", "Ni", "Ni", "Ni", "Ni", "Ni", "Ni", "Ni", "As", "As", "As", "As", "As", "As", "O", "O", "O", "O", "O", "O", "O", "O", "O", "O", "O", "O", "O", "O", "O", "O", "O", "O", "O", "O", "O", "O", "O", "O", "O", "O", "O", "O", "O", "O", "O", "O"], "frac_coords": [[0.500, 0.742, 0.250], [0.242, 0.743, 0.495], [0.758, 0.743, 0.495], [0.000, 0.733, 0.745], [0.252, 0.737, 0.996], [0.748, 0.737, 0.996], [0.748, 0.263, 0.004], [0.252, 0.263, 0.004], [0.000, 0.267, 0.255], [0.758, 0.257, 0.505], [0.242, 0.257, 0.505], [0.500, 0.258, 0.750], [0.760, 0.000, 0.259], [0.240, 0.000, 0.259], [0.240, 0.000, 0.741], [0.760, 0.000, 0.741], [0.500, 0.000, 0.000], [0.000, 0.580, 0.191], [0.500, 0.575, 0.689], [0.500, 0.425, 0.311], [0.000, 0.420, 0.809], [0.500, 0.000, 0.500], [0.000, 0.000, 0.000], [0.000, 0.882, 0.110], [0.500, 0.871, 0.118], [0.286, 0.880, 0.383], [0.714, 0.880, 0.383], [0.500, 0.886, 0.612], [0.000, 0.861, 0.635], [0.244, 0.630, 0.129], [0.756, 0.630, 0.129], [0.777, 0.886, 0.887], [0.223, 0.886, 0.887], [0.000, 0.629, 0.371], [0.500, 0.619, 0.375], [0.741, 0.630, 0.627], [0.259, 0.630, 0.627], [0.000, 0.385, 0.126], [0.500, 0.371, 0.130], [0.500, 0.629, 0.870], [0.000, 0.615, 0.874], [0.259, 0.370, 0.373], [0.741, 0.370, 0.373], [0.500, 0.381, 0.625], [0.000, 0.371, 0.629], [0.777, 0.114, 0.113], [0.223, 0.114, 0.113], [0.756, 0.370, 0.871], [0.244, 0.370, 0.871], [0.000, 0.139, 0.365], [0.500, 0.114, 0.388], [0.286, 0.120, 0.617], [0.714, 0.120, 0.617], [0.500, 0.129, 0.882], [0.000, 0.118, 0.890]]}



Entry 6:
{"formula": "SrRuN2O", "functional": "meta-GGA SCAN", "state": "single point on PBEsol structure", "formation_energy_uncorrected_ev_per_atom": 1.97, "lattice": [[-1.757, -3.781, 1.244], [3.880, -1.323, 1.457], [-0.883, 1.688, 3.884]], "species": ["Ru", "N", "N", "O", "Sr"], "frac_coords": [[0.500, 0.500, 0.500], [0.000, 0.500, 0.000], [0.500, 0.000, 0.000], [0.000, 0.000, 0.500], [0.000, 0.000, 0.000]]}



Entry 7:
{"formula": "Os2AuSe", "functional": "meta-GGA SCAN", "state": "single point on PBEsol structure", "formation_energy_uncorrected_ev_per_atom": 1.08, "lattice": [[-2.304, 1.414, -0.783], [-2.692, -3.176, 2.185], [0.216, 2.548, 3.970]], "species": ["Au", "Os", "Os", "Se"], "frac_coords": [[0.000, 0.500, 0.500], [0.000, 0.000, 0.000], [0.500, 0.000, 0.500], [0.500, 0.500, 0.000]]}



Entry 8:
{"formula": "Rb2BSe", "functional": "meta-GGA SCAN", "state": "single point on PBEsol structure", "formation_energy_uncorrected_ev_per_atom": 0.44, "lattice": [[-0.566, -3.408, 4.339], [4.380, -2.825, 1.898], [2.255, 1.336, 4.889]], "species": ["B", "Se", "Rb", "Rb"], "frac_coords": [[0.000, 0.000, 0.000], [0.500, 0.500, 0.500], [0.250, 0.250, 0.250], [0.750, 0.750, 0.750]]}



Entry 9:
{"formula": "LiAgPb", "functional": "meta-GGA SCAN", "state": "single point on PBEsol structure", "formation_enthalpy_0k_ev_per_atom": -0.185, "lattice": [[3.511, 0.000, 0.000], [0.000, 3.695, 0.000], [-1.756, -1.848, 4.528]], "species": ["Pb", "Ag", "Li"], "frac_coords": [[0.335, 0.335, 0.670], [0.009, 0.009, 0.019], [0.656, 0.656, 0.311]]}



Entry 10:
{"formula": "Li2MnSiO5", "functional": "meta-GGA SCAN", "state": "single point on PBEsol structure", "formation_energy_uncorrected_ev_per_atom": -2.50, "lattice": [[4.369, 0.000, 0.000], [0.000, 6.303, 0.000], [0.000, 0.000, 6.303]], "species": ["Li", "Li", "Li", "Li", "Mn", "Mn", "Si", "Si", "O", "O", "O", "O", "O", "O", "O", "O", "O", "O"], "frac_coords": [[0.000, 0.250, 0.750], [0.000, 0.250, 0.250], [0.000, 0.750, 0.250], [0.000, 0.750, 0.750], [0.373, 0.000, 0.500], [0.627, 0.500, 0.000], [0.500, 0.500, 0.500], [0.500, 0.000, 0.000], [0.235, 0.500, 0.000], [0.765, 0.000, 0.500], [0.276, 0.292, 0.500], [0.724, 0.500, 0.292], [0.724, 0.500, 0.708], [0.276, 0.708, 0.500], [0.724, 0.792, 0.000], [0.276, 0.000, 0.792], [0.276, 0.000, 0.208], [0.724, 0.208, 0.000]]}



Entry 11:
{"formula": "ScOsRu2", "functional": "meta-GGA SCAN", "state": "single point on PBEsol structure", "formation_enthalpy_0k_ev_per_atom": 0.183, "lattice": [[-2.379, -1.421, -0.229], [0.028, -2.613, -0.948], [0.203, -4.330, 7.865]], "species": ["Os", "Ru", "Ru", "Sc"], "frac_coords": [[0.000, 0.000, 0.000], [0.253, 0.253, 0.240], [0.747, 0.747, 0.760], [0.500, 0.500, 0.500]]}



Entry 12:
{"formula": "ScIn2PbCl", "functional": "meta-GGA SCAN", "state": "single point on PBEsol structure", "formation_energy_uncorrected_ev_per_atom": -0.04, "lattice": [[4.732, 0.000, 0.000], [0.000, 5.431, 0.000], [0.000, 0.000, 5.431]], "species": ["Pb", "Sc", "Cl", "In", "In"], "frac_coords": [[0.500, 0.500, 0.500], [0.500, 0.000, 0.000], [0.000, 0.000, 0.000], [0.000, 0.000, 0.500], [0.000, 0.500, 0.000]]}